[1]
DFT (PBE-GGA) results for crystalline TaIr3 at its relaxed geometry.

Cell: 5.5781 5.5781 4.4886 Å, 90.00 90.00 120.00°
Closest atoms and distances in Å follow each position.
Atoms (fractional coordinates):
Ta  0.3333  0.6667  0.2500  12 Ir 2.78-2.79
Ta  0.6667  0.3333  0.7500  12 Ir 2.78-2.79
Ir  0.1641  0.3281  0.7500  8 Ir 2.75-2.83, 4 Ta 2.78-2.79
Ir  0.1641  0.8359  0.7500  8 Ir 2.75-2.83, 4 Ta 2.78-2.79
Ir  0.3281  0.1641  0.2500  8 Ir 2.75-2.83, 4 Ta 2.78-2.79
Ir  0.6719  0.8359  0.7500  8 Ir 2.75-2.83, 4 Ta 2.78-2.79
Ir  0.8359  0.1641  0.2500  8 Ir 2.75-2.83, 4 Ta 2.78-2.79
Ir  0.8359  0.6719  0.2500  8 Ir 2.75-2.83, 4 Ta 2.78-2.79

Computed properties:
The calculation puts the total energy at -82.2 eV for the cell shown. The calculation puts the energy of formation from the pure elements at -664.1 meV per atom. For the total magnetization, the calculation gives 0.0 μB per formula unit. Its crystal system is hexagonal. The space group is P6_3/mmc, No. 194.

***

[2]
DFT (PBE-GGA) results for crystalline KAl2Hg at its relaxed geometry.

Cell: 3.4043 3.4043 8.6655 Å, 90.00 90.00 90.00°
Closest atoms and distances in Å follow each position.
Atoms (fractional coordinates):
K  0.0000  0.0000  0.0000  4 K 3.40, 4 Hg 3.55, 4 Al 3.63
Al  0.0000  0.0000  0.4826  4 Al 2.82, 4 Hg 3.05
Al  0.5000  0.5000  0.3134  4 Al 2.82
Hg  0.5000  0.5000  0.6990  5 Al 3.05-3.34, 4 Hg 3.40

Computed properties:
The calculation puts the total energy at -8.5 eV for the cell shown. The calculation puts the energy of formation from the pure elements at 105.3 meV per atom. For the total magnetization, the calculation gives 0.0 μB per formula unit. Its crystal system is tetragonal. The space group is P4mm, No. 99.